1.
{"formula": "ZnPbSeO5", "functional": "PBE", "state": "optimized geometry", "cell": [[-3.9186, -4.0971, -1.2576], [3.9372, -4.2405, 0.4898], [-1.5832, 3.5627, 7.4096]], "species": ["O", "Se", "O", "Zn", "O", "Pb", "O", "Pb", "Se", "O", "O", "Zn", "O", "O", "O", "O"], "fractional_positions": [[0.7205, 0.2519, 0.4859], [0.6685, 0.3315, 0.2500], [0.7481, 0.2795, 0.0141], [0.3049, 0.6951, 0.2500], [0.6861, 0.6547, 0.3402], [0.0000, 0.0000, 0.0000], [0.3453, 0.3139, 0.1598], [0.0000, 0.0000, 0.5000], [0.3315, 0.6685, 0.7500], [0.6547, 0.6861, 0.8402], [0.2519, 0.7205, 0.9859], [0.6951, 0.3049, 0.7500], [0.2795, 0.7481, 0.5141], [0.0613, 0.9387, 0.2500], [0.9387, 0.0613, 0.7500], [0.3139, 0.3453, 0.6598]], "raw_formation_energy_ev_per_atom": -0.80, "magmom_total_mub_per_cell": 0.00}



2.
{"formula": "Zn3PbSe4O12", "functional": "PBE", "state": "optimized geometry", "cell": [[-1.0504, 0.3071, 6.6787], [4.3018, -5.1383, -0.9467], [3.4574, 5.6013, -1.5733]], "species": ["Zn", "O", "O", "O", "Se", "Se", "O", "O", "O", "Zn", "O", "O", "Se", "O", "O", "O", "Se", "O", "Pb", "Zn"], "fractional_positions": [[0.0000, 0.5728, 0.4272], [0.9427, 0.5000, 0.0573], [0.0573, 0.9427, 0.5000], [0.6704, 0.7555, 0.9870], [0.1008, 0.5000, 0.8992], [0.8992, 0.1008, 0.5000], [0.3296, 0.0130, 0.2445], [0.5000, 0.3257, 0.6743], [0.7555, 0.9870, 0.6704], [0.4272, 0.0000, 0.5728], [0.9870, 0.6704, 0.7555], [0.5000, 0.0573, 0.9427], [0.5000, 0.8992, 0.1008], [0.3257, 0.6743, 0.5000], [0.2445, 0.3296, 0.0130], [0.0130, 0.2445, 0.3296], [0.5000, 0.5000, 0.5000], [0.6743, 0.5000, 0.3257], [0.0000, 0.0000, 0.0000], [0.5728, 0.4272, 0.0000]], "n_ef_per_ev_cell": 1.94, "raw_formation_energy_ev_per_atom": -0.66, "magmom_total_mub_per_cell": 0.00}



3.
{"formula": "ZrPbSeO5", "functional": "PBE", "state": "optimized geometry", "cell": [[6.0219, 0.2983, -0.2932], [-1.4726, 5.8467, -0.2932], [-2.2393, -3.0247, 7.4530]], "species": ["Zr", "O", "Se", "O", "O", "O", "Pb", "Se", "O", "Zr", "O", "O", "Pb", "O", "O", "O"], "fractional_positions": [[0.0000, 0.0000, 0.0000], [0.3180, 0.8882, 0.5748], [0.7069, 0.2931, 0.2500], [0.1118, 0.6820, 0.9252], [0.2255, 0.3935, 0.6148], [0.6820, 0.1118, 0.4252], [0.7007, 0.2993, 0.7500], [0.2931, 0.7069, 0.7500], [0.0369, 0.9631, 0.2500], [0.0000, 0.0000, 0.5000], [0.8882, 0.3180, 0.0748], [0.7745, 0.6065, 0.3852], [0.2993, 0.7007, 0.2500], [0.3935, 0.2255, 0.1148], [0.6065, 0.7745, 0.8852], [0.9631, 0.0369, 0.7500]], "n_ef_per_ev_cell": 0.00, "raw_formation_energy_ev_per_atom": -1.71, "magmom_total_mub_per_cell": 0.00}



4.
{"formula": "ZrPbSe2O8", "functional": "PBE", "state": "optimized geometry", "cell": [[-2.7218, -1.5991, -3.8743], [-0.6971, -4.5433, 1.9616], [-5.6323, 2.1998, 3.0638]], "species": ["O", "Pb", "O", "O", "Se", "O", "O", "Zr", "O", "O", "O", "Se"], "fractional_positions": [[0.2323, 0.8416, 0.2419], [0.0000, 0.0000, 0.5000], [0.1584, 0.7677, 0.7581], [0.2916, 0.2916, 0.9453], [0.5564, 0.5564, 0.2500], [0.7084, 0.7084, 0.0547], [0.8416, 0.2323, 0.2419], [0.0000, 0.0000, 0.0000], [0.3070, 0.3070, 0.5421], [0.7677, 0.1584, 0.7581], [0.6930, 0.6930, 0.4579], [0.4436, 0.4436, 0.7500]], "raw_formation_energy_ev_per_atom": -1.33, "magmom_total_mub_per_cell": 0.00}



5.
{"formula": "SiPbO2", "functional": "PBE", "state": "optimized geometry", "cell": [[5.4633, 0.0000, 0.0000], [0.0000, 5.4633, 0.0000], [2.7317, 2.7317, 3.8636]], "species": ["Pb", "Si", "Pb", "Si", "O", "O", "O", "O"], "fractional_positions": [[0.7500, 0.2500, 0.5000], [0.2500, 0.7500, 0.5000], [0.0000, 0.0000, 0.0000], [0.5000, 0.5000, 0.0000], [0.3750, 0.6250, 0.7500], [0.3750, 0.1250, 0.2500], [0.8750, 0.6250, 0.7500], [0.3750, 0.6250, 0.2500]], "n_ef_per_ev_cell": 1.68, "raw_formation_energy_ev_per_atom": -1.51, "magmom_total_mub_per_cell": 0.00, "polymorph_energy_mev_per_atom": 0}



6.
{"formula": "Si2PbO", "functional": "PBE", "state": "optimized geometry", "cell": [[0.6663, 3.3166, 3.1271], [-2.4662, 0.0263, 3.8909], [2.0242, -0.9946, 4.0169]], "species": ["Pb", "Si", "Si", "O"], "fractional_positions": [[0.5000, 0.5000, 0.5000], [0.7500, 0.7500, 0.7500], [0.2500, 0.2500, 0.2500], [0.0000, 0.0000, 0.0000]], "n_ef_per_ev_cell": 1.40, "raw_formation_energy_ev_per_atom": 0.70, "magmom_total_mub_per_cell": 0.00, "polymorph_energy_mev_per_atom": 790}



7.
{"formula": "SiPbO2", "functional": "PBE", "state": "optimized geometry", "cell": [[-3.0817, 2.6331, 1.4571], [-1.5110, 3.1494, -2.5203], [-3.9879, -0.2545, -1.6079]], "species": ["Pb", "O", "Si", "O"], "fractional_positions": [[0.5000, 0.5000, 0.5000], [0.2500, 0.2500, 0.2500], [0.0000, 0.0000, 0.0000], [0.7500, 0.7500, 0.7500]], "n_ef_per_ev_cell": 0.01, "raw_formation_energy_ev_per_atom": -0.20, "magmom_total_mub_per_cell": 0.00, "polymorph_energy_mev_per_atom": 1308}



8.
{"formula": "SiPbO2", "functional": "PBE", "state": "optimized geometry", "cell": [[1.6722, 0.0000, 8.5838], [-0.8361, 1.4481, 8.5838], [-0.8361, -1.4481, 8.5838]], "species": ["Pb", "Si", "O", "O"], "fractional_positions": [[0.0000, 0.0000, 0.0000], [0.5000, 0.5000, 0.5000], [0.8666, 0.8666, 0.8666], [0.1334, 0.1334, 0.1334]], "n_ef_per_ev_cell": 0.71, "raw_formation_energy_ev_per_atom": -1.41, "magmom_total_mub_per_cell": 0.00, "polymorph_energy_mev_per_atom": 106}



9.
{"formula": "Si4PbO8", "functional": "PBE", "state": "optimized geometry", "cell": [[-5.2942, 0.8462, -0.0703], [2.3413, -2.6725, -4.0157], [-1.1735, -7.0110, 3.9816]], "species": ["O", "O", "Si", "Si", "O", "O", "O", "Pb", "O", "O", "Si", "O", "Si"], "fractional_positions": [[0.5000, 0.0000, 0.2699], [0.0000, 0.5000, 0.7301], [0.3333, 0.6667, 0.7968], [0.6667, 0.3333, 0.2032], [0.0000, 0.5000, 0.2699], [0.5000, 0.0000, 0.7301], [0.5000, 0.5000, 0.7301], [0.0000, 0.0000, 0.0000], [0.3333, 0.6667, 0.0000], [0.6667, 0.3333, 0.0000], [0.6667, 0.3333, 0.7968], [0.5000, 0.5000, 0.2699], [0.3333, 0.6667, 0.2032]], "n_ef_per_ev_cell": 0.70, "raw_formation_energy_ev_per_atom": -2.26, "magmom_total_mub_per_cell": 1.91}



10.
{"formula": "Si2Pb2O5", "functional": "PBE", "state": "optimized geometry", "cell": [[-2.4839, 0.2226, 1.5666], [-0.7830, -6.4299, -3.0962], [3.4474, -2.9106, 5.8799]], "species": ["Pb", "O", "O", "O", "Pb", "Si", "O", "Si", "O"], "fractional_positions": [[0.6346, 0.2692, 0.4924], [0.8692, 0.7383, 0.2554], [0.1308, 0.2617, 0.7446], [0.3468, 0.6936, 0.9535], [0.3654, 0.7308, 0.5076], [0.1127, 0.2255, 0.9582], [0.0000, 0.0000, 0.0000], [0.8873, 0.7745, 0.0418], [0.6532, 0.3064, 0.0465]], "n_ef_per_ev_cell": 1.68, "raw_formation_energy_ev_per_atom": -1.88, "magmom_total_mub_per_cell": 0.00}



11.
{"formula": "SiPbO2", "functional": "PBE", "state": "optimized geometry", "cell": [[1.9218, 0.0000, 6.7899], [-0.9609, 1.6643, 6.7899], [-0.9609, -1.6643, 6.7899]], "species": ["O", "Si", "O", "Pb"], "fractional_positions": [[0.0797, 0.0797, 0.0797], [0.0000, 0.0000, 0.0000], [0.9203, 0.9203, 0.9203], [0.5000, 0.5000, 0.5000]], "n_ef_per_ev_cell": 0.00, "raw_formation_energy_ev_per_atom": -1.00, "magmom_total_mub_per_cell": 0.00, "polymorph_energy_mev_per_atom": 514}



12.
{"formula": "Si2PbO", "functional": "PBE", "state": "optimized geometry", "cell": [[-4.6276, 1.6117, 0.1189], [-1.5512, -4.5311, 1.0435], [-2.5028, -0.2329, 6.7804]], "species": ["O", "Si", "O", "Si", "Si", "Pb", "Pb", "Si"], "fractional_positions": [[0.5000, 0.5000, 0.0000], [0.3750, 0.5608, 0.7500], [0.2500, 0.7500, 0.5000], [0.8750, 0.6892, 0.7500], [0.3108, 0.6250, 0.2500], [0.7500, 0.2500, 0.5000], [0.0000, 0.0000, 0.0000], [0.4392, 0.1250, 0.2500]], "n_ef_per_ev_cell": 2.30, "raw_formation_energy_ev_per_atom": -0.09, "magmom_total_mub_per_cell": 0.00, "polymorph_energy_mev_per_atom": 0}



13.
{"formula": "Sm2SiPbO6", "functional": "PBE", "state": "optimized geometry", "cell": [[-2.8893, -4.4386, -0.2690], [0.8283, -0.2168, -5.3189], [4.4410, -2.9400, 0.8114]], "species": ["Sm", "O", "Si", "O", "O", "O", "O", "Pb", "O", "Sm"], "fractional_positions": [[0.9815, 0.5000, 0.0000], [0.7374, 0.2182, 0.2182], [0.6218, 0.0000, 0.0000], [0.7374, 0.2182, 0.7818], [0.7374, 0.7818, 0.7818], [0.0779, 0.5000, 0.5000], [0.7374, 0.7818, 0.2182], [0.5278, 0.5000, 0.5000], [0.3067, 0.0000, 0.0000], [0.9815, 0.0000, 0.5000]], "n_ef_per_ev_cell": 0.00, "raw_formation_energy_ev_per_atom": -2.52, "magmom_total_mub_per_cell": 0.00}



14.
{"formula": "SrSiPbO4", "functional": "PBE", "state": "optimized geometry", "cell": [[-3.7480, 3.6309, 2.8051], [1.3865, -2.4594, 5.0361], [6.6813, 2.7627, -0.4903]], "species": ["O", "Si", "O", "O", "O", "O", "Si", "O", "Sr", "O", "O", "Sr", "Pb", "Pb"], "fractional_positions": [[0.4377, 0.7500, 0.5314], [0.7247, 0.2500, 0.7122], [0.5460, 0.2500, 0.8407], [0.4540, 0.7500, 0.1593], [0.5623, 0.2500, 0.4686], [0.0904, 0.5223, 0.2219], [0.2753, 0.7500, 0.2878], [0.9096, 0.0223, 0.7781], [0.7171, 0.7500, 0.9587], [0.9096, 0.4777, 0.7781], [0.0904, 0.9777, 0.2219], [0.2829, 0.2500, 0.0413], [0.1759, 0.2500, 0.4808], [0.8241, 0.7500, 0.5192]], "n_ef_per_ev_cell": 0.00, "raw_formation_energy_ev_per_atom": -2.43, "magmom_total_mub_per_cell": 0.00}



15.
{"formula": "TaSiPbO6", "functional": "PBE", "state": "optimized geometry", "cell": [[5.1229, 0.0000, -0.0001], [2.5615, 4.4365, 0.0001], [0.0001, -0.0001, 4.9793]], "species": ["Si", "O", "O", "Pb", "O", "O", "O", "O", "Ta"], "fractional_positions": [[0.3333, 0.3333, 0.5000], [0.0262, 0.6081, 0.7052], [0.6081, 0.0262, 0.2948], [0.0000, 0.0000, 0.0000], [0.3656, 0.6081, 0.2948], [0.6081, 0.3656, 0.7052], [0.0262, 0.3656, 0.2948], [0.3656, 0.0262, 0.7052], [0.6666, 0.6667, 0.5000]], "n_ef_per_ev_cell": 2.65, "raw_formation_energy_ev_per_atom": -2.19, "magmom_total_mub_per_cell": 0.00}



16.
{"formula": "Tb2SiPbO6", "functional": "PBE", "state": "optimized geometry", "cell": [[5.3564, 0.0000, 0.0000], [0.0000, 5.3185, 0.0000], [0.0000, 0.0000, 5.3185]], "species": ["O", "O", "O", "Pb", "O", "O", "Tb", "O", "Tb", "Si"], "fractional_positions": [[0.3130, 0.0000, 0.0000], [0.7415, 0.7799, 0.2201], [0.0796, 0.5000, 0.5000], [0.5194, 0.5000, 0.5000], [0.7415, 0.2201, 0.2201], [0.7415, 0.7799, 0.7799], [0.9722, 0.0000, 0.5000], [0.7415, 0.2201, 0.7799], [0.9722, 0.5000, 0.0000], [0.6245, 0.0000, 0.0000]], "n_ef_per_ev_cell": 0.00, "raw_formation_energy_ev_per_atom": -2.53, "magmom_total_mub_per_cell": 0.00}



17.
{"formula": "Si2TePbO8", "functional": "PBE", "state": "optimized geometry", "cell": [[4.8543, -0.1806, -0.0446], [2.0790, 4.3903, -0.0446], [0.2528, 0.1535, 7.7902]], "species": ["O", "Si", "Te", "O", "O", "O", "O", "O", "O", "Pb", "Si", "O"], "fractional_positions": [[0.7320, 0.2255, 0.8176], [0.3595, 0.3595, 0.7897], [0.0000, 0.0000, 0.0000], [0.2255, 0.7320, 0.8176], [0.2328, 0.2328, 0.9594], [0.2680, 0.7745, 0.1824], [0.2964, 0.2964, 0.5994], [0.7672, 0.7672, 0.0406], [0.7036, 0.7036, 0.4006], [0.0000, 0.0000, 0.5000], [0.6405, 0.6405, 0.2103], [0.7745, 0.2680, 0.1824]], "n_ef_per_ev_cell": 0.00, "raw_formation_energy_ev_per_atom": -1.81, "magmom_total_mub_per_cell": 0.00}



18.
{"formula": "SiTePbO6", "functional": "PBE", "state": "optimized geometry", "cell": [[-3.8522, 3.0631, -1.0622], [-4.2754, -1.8881, -1.8726], [-1.9545, -0.6743, 5.1428]], "species": ["Si", "O", "O", "O", "O", "O", "O", "Te", "Pb"], "fractional_positions": [[0.6666, 0.6667, 0.5000], [0.6256, 0.9801, 0.3095], [0.9801, 0.3943, 0.3095], [0.6255, 0.3943, 0.6905], [0.3942, 0.9802, 0.6905], [0.9801, 0.6256, 0.6905], [0.3943, 0.6256, 0.3095], [0.3333, 0.3333, 0.5000], [0.0000, 0.0000, 0.0000]], "n_ef_per_ev_cell": 0.00, "raw_formation_energy_ev_per_atom": -1.62, "magmom_total_mub_per_cell": 0.00}



19.
{"formula": "SiTe2PbO8", "functional": "PBE", "state": "optimized geometry", "cell": [[5.0477, 0.0000, 0.0000], [2.5238, 4.3714, 0.0000], [2.5238, 1.4571, 7.4547]], "species": ["Te", "O", "O", "Pb", "O", "O", "O", "O", "Si", "O", "Te", "O"], "fractional_positions": [[0.2267, 0.2267, 0.3198], [0.6907, 0.6907, 0.9279], [0.7459, 0.3963, 0.6610], [0.0000, 0.0000, 0.0000], [0.2541, 0.8032, 0.3390], [0.3093, 0.3093, 0.0721], [0.6037, 0.2541, 0.3390], [0.1968, 0.7459, 0.6610], [0.5000, 0.5000, 0.5000], [0.3963, 0.1968, 0.6610], [0.7733, 0.7733, 0.6802], [0.8032, 0.6037, 0.3390]], "n_ef_per_ev_cell": 3.39, "raw_formation_energy_ev_per_atom": -0.97, "magmom_total_mub_per_cell": 1.78}